VASP calculation (PBE) on an optimized crystal structure of TbPrErZn.

Properties
Formation enthalpy at 0 K: -0.163 eV per atom
SG: P4mm
Spin magnetization: 0.000 μB per atom
Polymorph energy (0 for the lowest one): 0.000 eV per formula unit
Calculated total energy: -3.975 eV per atom
Density of states at the Fermi level: 4.80 states/eV/f.u.

```
TbPrErZn
1.0
3.591 0.000 0.000
0.000 3.591 0.000
0.000 0.000 8.744
Tb Pr Er Zn
1 1 1 1
Direct
0.000 0.000 0.000
0.500 0.500 0.301
0.000 0.000 0.598
0.500 0.500 0.794
```

VASP calculation (PBE) on an optimized crystal structure of TaTcPd2.

Properties
Formation enthalpy at 0 K: 0.213 eV per atom
SG: I-42d
Spin magnetization: 0.000 μB per atom
Polymorph energy (0 for the lowest one): 0.145 eV per formula unit
Calculated total energy: -7.938 eV per atom
Density of states at the Fermi level: 2.18 states/eV/f.u.

```
TaTcPd2
1.0
3.770 0.000 0.000
0.000 3.770 0.000
0.000 0.000 18.913
Ta Tc Pd
4 4 8
Direct
0.000 0.000 0.000
0.000 0.500 0.250
0.500 0.000 0.750
0.500 0.500 0.500
0.000 0.000 0.500
0.000 0.500 0.750
0.500 0.000 0.250
0.500 0.500 0.000
0.247 0.250 0.625
0.250 0.747 0.875
0.250 0.753 0.375
0.253 0.250 0.125
0.747 0.750 0.125
0.750 0.247 0.375
0.750 0.253 0.875
0.753 0.750 0.625
```

VASP calculation (PBE) on an optimized crystal structure of AcPr2Tl4.

Properties
Formation enthalpy at 0 K: -0.200 eV per atom
SG: P4/mmm
Spin magnetization: 0.000 μB per atom
Polymorph energy (0 for the lowest one): 0.000 eV per formula unit
Calculated total energy: -3.504 eV per atom
Density of states at the Fermi level: 7.06 states/eV/f.u.

```
AcPr2Tl4
1.0
5.486 0.000 0.000
0.000 5.486 0.000
0.000 0.000 7.993
Ac Pr Tl
1 2 4
Direct
0.000 0.000 0.000
0.000 0.000 0.500
0.500 0.500 0.000
0.000 0.500 0.277
0.000 0.500 0.723
0.500 0.000 0.277
0.500 0.000 0.723
```

VASP calculation (PBE) on an optimized crystal structure of GaBIr2I.

Properties
SG: P4/mmm
Spin magnetization: 0.232 μB per atom
Calculated total energy: -3.655 eV per atom
Density of states at the Fermi level: 6.56 states/eV/f.u.

```
GaBIr2I
1.0
4.635 0.000 0.000
0.000 4.635 0.000
0.000 0.000 5.603
Ga B Ir I
1 1 2 1
Direct
0.000 0.000 0.000
0.500 0.500 0.500
0.000 0.500 0.000
0.500 0.000 0.000
0.000 0.000 0.500
```

VASP calculation (PBE) on an optimized crystal structure of Pm2PaAs3.

Properties
Formation enthalpy at 0 K: -1.379 eV per atom
SG: Fddd
Spin magnetization: 0.000 μB per atom
Calculated total energy: -6.870 eV per atom
Density of states at the Fermi level: 4.82 states/eV/f.u.

```
Pm2PaAs3
1.0
0.000 5.914 12.541
4.185 0.000 12.541
4.185 5.914 0.000
Pm Pa As
8 4 12
Direct
0.043 0.043 0.207
0.124 0.124 0.626
0.207 0.207 0.043
0.374 0.374 0.876
0.626 0.626 0.124
0.793 0.793 0.957
0.876 0.876 0.374
0.957 0.957 0.793
0.292 0.292 0.458
0.458 0.458 0.292
0.542 0.542 0.708
0.708 0.708 0.542
0.040 0.540 0.221
0.135 0.615 0.615
0.221 0.700 0.040
0.300 0.779 0.460
0.385 0.865 0.865
0.460 0.960 0.300
0.540 0.040 0.700
0.615 0.135 0.135
0.700 0.221 0.540
0.779 0.300 0.960
0.865 0.385 0.385
0.960 0.460 0.779
```

VASP calculation (PBE) on an optimized crystal structure of La4CuOsCl2.

Properties
SG: P2/m
Spin magnetization: 0.000 μB per atom
Calculated total energy: -5.761 eV per atom
Density of states at the Fermi level: 5.18 states/eV/f.u.

```
La4CuOsCl2
1.0
7.204 0.000 0.000
0.000 4.222 0.000
-2.397 0.000 7.634
La Cu Os Cl
4 1 1 2
Direct
0.227 0.000 0.207
0.249 0.500 0.792
0.751 0.500 0.208
0.773 0.000 0.793
0.500 0.000 0.000
0.000 0.500 0.000
0.000 0.000 0.500
0.500 0.500 0.500
```

VASP calculation (PBE) on an optimized crystal structure of CdCoRu.

Properties
Formation enthalpy at 0 K: 0.332 eV per atom
SG: P3m1
Spin magnetization: 0.425 μB per atom
Polymorph energy (0 for the lowest one): 0.236 eV per formula unit
Calculated total energy: -5.433 eV per atom
Density of states at the Fermi level: 3.86 states/eV/f.u.

```
CdCoRu
1.0
2.771 0.000 0.000
-1.386 2.400 0.000
0.000 0.000 6.719
Cd Co Ru
1 1 1
Direct
0.000 0.000 0.000
0.333 0.667 0.346
0.667 0.333 0.630
```

VASP calculation (PBE) on an optimized crystal structure of Pm12MnGe6.

Properties
Formation enthalpy at 0 K: -0.399 eV per atom
SG: R-3
Spin magnetization: 0.000 μB per atom
Calculated total energy: -5.340 eV per atom
Density of states at the Fermi level: 19.97 states/eV/f.u.

```
Pm12MnGe6
1.0
6.451 3.724 4.030
-6.451 3.724 4.030
0.000 -7.449 4.030
Pm Mn Ge
12 1 6
Direct
0.032 0.940 0.685
0.060 0.315 0.968
0.187 0.568 0.427
0.315 0.968 0.060
0.427 0.187 0.568
0.432 0.573 0.813
0.568 0.427 0.187
0.573 0.813 0.432
0.685 0.032 0.940
0.813 0.432 0.573
0.940 0.685 0.032
0.968 0.060 0.315
0.000 0.000 0.000
0.127 0.304 0.627
0.304 0.627 0.127
0.373 0.873 0.696
0.627 0.127 0.304
0.696 0.373 0.873
0.873 0.696 0.373
```

VASP calculation (PBE) on an optimized crystal structure of SnHIN2.

Properties
SG: P4/mmm
Spin magnetization: 0.052 μB per atom
Polymorph energy (0 for the lowest one): 1.603 eV per formula unit
Calculated total energy: -3.130 eV per atom
Density of states at the Fermi level: 2.56 states/eV/f.u.

```
SnHIN2
1.0
4.500 0.000 0.000
0.000 4.500 0.000
0.000 0.000 3.463
Sn H I N
1 1 1 2
Direct
0.000 0.000 0.000
0.500 0.500 0.500
0.500 0.500 0.000
0.000 0.500 0.500
0.500 0.000 0.500
```

VASP calculation (PBE) on an optimized crystal structure of Er6Tm12Pu.

Properties
Formation enthalpy at 0 K: 0.160 eV per atom
SG: R-3
Spin magnetization: 0.310 μB per atom
Calculated total energy: -4.860 eV per atom
Density of states at the Fermi level: 35.28 states/eV/f.u.

```
Er6Tm12Pu
1.0
5.999 3.463 4.684
-5.999 3.463 4.684
0.000 -6.927 4.684
Er Tm Pu
6 12 1
Direct
0.231 0.760 0.382
0.240 0.618 0.769
0.382 0.231 0.760
0.618 0.769 0.240
0.760 0.382 0.231
0.769 0.240 0.618
0.024 0.292 0.964
0.036 0.976 0.708
0.128 0.351 0.449
0.292 0.964 0.024
0.351 0.449 0.128
0.449 0.128 0.351
0.551 0.872 0.649
0.649 0.551 0.872
0.708 0.036 0.976
0.872 0.649 0.551
0.964 0.024 0.292
0.976 0.708 0.036
0.500 0.500 0.500
```

VASP calculation (PBE) on an optimized crystal structure of CaMnTlCl5.

Properties
SG: C2/c
Spin magnetization: 0.625 μB per atom
Calculated total energy: -4.414 eV per atom
Density of states at the Fermi level: 0.00 states/eV/f.u.

```
CaMnTlCl5
1.0
4.528 -6.095 0.000
4.528 6.095 0.000
-3.951 0.000 9.125
Ca Mn Tl Cl
2 2 2 10
Direct
0.000 0.000 0.000
0.000 0.000 0.500
0.318 0.682 0.750
0.682 0.318 0.250
0.336 0.664 0.250
0.664 0.336 0.750
0.082 0.918 0.250
0.096 0.681 0.882
0.254 0.384 0.571
0.319 0.904 0.618
0.384 0.254 0.071
0.616 0.746 0.929
0.681 0.096 0.382
0.746 0.616 0.429
0.904 0.319 0.118
0.918 0.082 0.750
```

VASP calculation (PBE) on an optimized crystal structure of LiGaCo2.

Properties
Formation enthalpy at 0 K: 0.311 eV per atom
SG: I-42d
Spin magnetization: 0.662 μB per atom
Calculated total energy: -4.478 eV per atom
Density of states at the Fermi level: 4.55 states/eV/f.u.

```
LiGaCo2
1.0
6.480 0.000 0.000
0.000 6.480 0.000
0.000 0.000 4.904
Li Ga Co
4 4 8
Direct
0.000 0.000 0.000
0.000 0.500 0.250
0.500 0.000 0.750
0.500 0.500 0.500
0.000 0.000 0.500
0.000 0.500 0.750
0.500 0.000 0.250
0.500 0.500 0.000
0.250 0.250 0.125
0.250 0.250 0.625
0.250 0.750 0.375
0.250 0.750 0.875
0.750 0.250 0.375
0.750 0.250 0.875
0.750 0.750 0.125
0.750 0.750 0.625
```